Arrangement w

Here is crystalline TbSm2Ir at its relaxed geometry from the Alexandria database. Energies are from GGA-PBE.

Computed properties:
Crystal system = trigonal

Lattice parameters (Å, degrees): 3.7931 3.7931 31.9363 90.00 90.00 120.00
Space group R-3m (No. 166, hexagonal axes)
Symmetry-distinct sites (fractional):
Tb (0.0000, 0.0000, 0.0000) x3
Sm (0.0000, 0.0000, 0.1125) x6
Ir (0.0000, 0.0000, 0.5000) x3

Arrangement x

Here is crystalline TbSm2Ir at its relaxed geometry from the Alexandria database. Energies are from GGA-PBE.

Computed properties:
Crystal system = orthorhombic

Lattice parameters (Å, degrees): 3.9291 12.0520 9.5096 90.00 90.00 90.00
Space group Cmcm (No. 63)
Symmetry-distinct sites (fractional):
Tb (0.0000, 0.0801, 0.2500) x4
Sm (0.0000, 0.3603, 0.0669) x8
Ir (0.0000, 0.2460, 0.7500) x4

Arrangement y

Here is crystalline TbSm2Ir at its relaxed geometry from the Alexandria database. Energies are from GGA-PBE.

Computed properties:
Crystal system = orthorhombic

Lattice parameters (Å, degrees): 7.2897 9.6706 6.4183 90.00 90.00 90.00
Space group Pnma (No. 62)
Symmetry-distinct sites (fractional):
Tb (0.0364, 0.2500, 0.1421) x4
Sm (0.1775, 0.0646, 0.6730) x8
Ir (0.1191, 0.7500, 0.4501) x4

It is arrangement w that is the least stable of them.

Arrangement w

Here is crystalline Sm4Te3Ir at its relaxed geometry from the Alexandria database. Energies are from GGA-PBE.

Computed properties:
Crystal system = orthorhombic

Lattice parameters (Å, degrees): 6.2177 10.1151 9.3192 90.00 90.00 90.00
Space group Pmmn (No. 59, origin choice 2)
Symmetry-distinct sites (fractional):
Sm (0.2500, 0.0329, 0.1885) x4
Sm (0.2500, 0.2500, 0.6348) x2
Sm (0.2500, 0.7500, 0.6543) x2
Te (0.2500, 0.0062, 0.8476) x4
Te (0.2500, 0.7500, 0.3206) x2
Ir (0.2500, 0.2500, 0.3499) x2

Arrangement x

Here is crystalline Sm4Te3Ir at its relaxed geometry from the Alexandria database. Energies are from GGA-PBE.

Computed properties:
Crystal system = orthorhombic

Lattice parameters (Å, degrees): 9.0414 12.5152 4.2870 90.00 90.00 90.00
Space group Cmmm (No. 65)
Symmetry-distinct sites (fractional):
Sm (0.0000, 0.2305, 0.0000) x4
Sm (0.2113, 0.0000, 0.5000) x4
Te (0.0000, 0.5000, 0.0000) x2
Te (0.2500, 0.2500, 0.5000) x4
Ir (0.0000, 0.0000, 0.0000) x2

It is arrangement w that is the least stable of them.